Record 1
Dy4Tm5Mg | PBE | relaxed

Lattice parameters (Å, degrees): 5.638 7.962 7.962 82.80 69.27 69.27
Sites, in units of the cell vectors:
Dy: 0.459 0.321 0.679
Dy: 0.780 0.679 0.679
Dy: 0.139 0.321 0.321
Dy: 0.459 0.679 0.321
Tm: 0.767 0.372 0.000
Tm: 0.138 0.000 0.628
Tm: 0.767 0.000 0.372
Tm: 0.138 0.628 0.000
Tm: 0.672 0.000 0.000
Mg: 0.191 0.000 0.000

Output
Density of states at the Fermi level, states/eV per atom: 1.13
Distance to the lowest polymorph of the same formula, eV per atom: 0.207
Space-group type: I4mm (107)


Record 2
NaSr2UTe4 | PBE | relaxed

Lattice parameters (Å, degrees): 4.631 8.048 7.974 109.01 90.00 90.00
Site moments in Bohr magnetons follow the coordinates.
Sites, in units of the cell vectors:
Na: 0.500 0.500 0.000  0.00
Sr: 0.500 0.000 0.500  0.00
Sr: 0.000 0.500 0.500  0.01
U: 0.000 0.000 0.000  2.81
Te: 0.500 0.240 0.234  -0.03
Te: 0.500 0.760 0.766  -0.03
Te: 0.000 0.245 0.762  -0.02
Te: 0.000 0.755 0.238  -0.02

Output
Density of states at the Fermi level, states/eV per atom: 0.69
Raw formation energy, eV per atom: -1.209
Space-group type: P2/m (10)


Record 3
La12CdSn4N3 | PBE | relaxed

Lattice parameters (Å, degrees): 9.149 9.149 9.149 109.47 109.47 109.47
Sites, in units of the cell vectors:
La: 0.250 0.500 0.750
La: 0.722 0.000 0.722
La: 0.278 0.000 0.278
La: 0.750 0.500 0.250
La: 0.722 0.722 0.000
La: 0.278 0.278 0.000
La: 0.750 0.250 0.500
La: 0.250 0.750 0.500
La: 0.500 0.250 0.750
La: 0.000 0.722 0.722
La: 0.500 0.750 0.250
La: 0.000 0.278 0.278
Cd: 0.000 0.000 0.000
Sn: 0.500 0.500 0.500
Sn: 0.000 0.000 0.500
Sn: 0.500 0.000 0.000
Sn: 0.000 0.500 0.000
N: 0.500 0.000 0.500
N: 0.500 0.500 0.000
N: 0.000 0.500 0.500

Output
Density of states at the Fermi level, states/eV per atom: 0.73
Raw formation energy, eV per atom: -0.714
Space-group type: Im-3m (229)


Number 1: total moment 0.0 μB per formula unit. Number 2: total moment 3.0 μB per formula unit. Number 3: total moment 0.0 μB per formula unit.